Entry 1:
A relaxed Pu2TeBr crystal, computed with PBE.

Unit cell a=5.326 b=5.326 c=5.326 alpha=60.00 beta=60.00 gamma=60.00
Positions (direct):
Br: 0.500 0.500 0.500
Te: 0.000 0.000 0.000
Pu: 0.750 0.750 0.750
Pu: 0.250 0.250 0.250

## Properties
* formation energy from raw total energies: -0.9079 eV per atom
* volume: 26.7 Å³/atom
* magnetization: 12.94 μB per formula unit
* electronic total energy: -9.277 eV per atom
* DOS at the Fermi energy: 3.370 states/eV/atom
* excess energy over the best structure of this formula in the dataset: 34 meV per atom


Entry 2:
A relaxed Pu2TeBr crystal, computed with PBE.

Unit cell a=4.404 b=4.404 c=7.238 alpha=72.29 beta=72.29 gamma=60.00
Positions (direct):
Te: 0.000 0.000 0.000
Br: 0.500 0.500 0.500
Pu: 0.755 0.755 0.735
Pu: 0.245 0.245 0.265

## Properties
* formation energy from raw total energies: -0.9420 eV per atom
* volume: 28.5 Å³/atom
* magnetization: 12.31 μB per formula unit
* electronic total energy: -9.312 eV per atom
* DOS at the Fermi energy: 4.373 states/eV/atom
* excess energy over the best structure of this formula in the dataset: 0 meV per atom


Entry 3:
A relaxed PuTeBr crystal, computed with PBE.

Unit cell a=5.184 b=5.184 c=5.184 alpha=60.00 beta=60.00 gamma=60.00
Positions (direct):
Pu: 0.250 0.250 0.250
Br: 0.500 0.500 0.500
Te: 0.000 0.000 0.000

## Properties
* formation energy from raw total energies: -1.1135 eV per atom
* volume: 32.8 Å³/atom
* magnetization: 5.00 μB per formula unit
* electronic total energy: -7.496 eV per atom
* DOS at the Fermi energy: 2.883 states/eV/atom
* excess energy over the best structure of this formula in the dataset: 124 meV per atom


Entry 4:
A relaxed Pu2TeBr crystal, computed with PBE.

Unit cell a=3.809 b=5.297 c=5.297 alpha=90.00 beta=90.00 gamma=90.00
Positions (direct):
Br: 0.500 0.500 0.500
Pu: 0.000 0.000 0.500
Pu: 0.000 0.500 0.000
Te: 0.500 0.000 0.000

## Properties
* formation energy from raw total energies: -0.8847 eV per atom
* volume: 26.7 Å³/atom
* magnetization: 12.91 μB per formula unit
* electronic total energy: -9.254 eV per atom
* DOS at the Fermi energy: 3.331 states/eV/atom
* excess energy over the best structure of this formula in the dataset: 57 meV per atom


Entry 5:
A relaxed PuTlTeBr crystal, computed with PBE.

Unit cell a=5.535 b=5.535 c=5.535 alpha=60.00 beta=60.00 gamma=60.00
Positions (direct):
Tl: 0.000 0.000 0.000
Pu: 0.500 0.500 0.500
Te: 0.750 0.750 0.750
Br: 0.250 0.250 0.250

## Properties
* formation energy from raw total energies: -0.7335 eV per atom
* volume: 30.0 Å³/atom
* magnetization: 6.00 μB per formula unit
* electronic total energy: -6.112 eV per atom
* DOS at the Fermi energy: 2.795 states/eV/atom


Entry 6:
A relaxed PuTl2Te2Br2 crystal, computed with PBE.

Unit cell a=5.986 b=5.986 c=9.146 alpha=109.10 beta=109.10 gamma=90.00
Positions (direct):
Te: 0.000 0.500 0.000
Te: 0.500 0.000 0.000
Pu: 0.000 0.000 0.000
Br: 0.173 0.173 0.346
Br: 0.827 0.827 0.654
Tl: 0.375 0.375 0.750
Tl: 0.625 0.625 0.250

## Properties
* formation energy from raw total energies: -0.7692 eV per atom
* volume: 41.5 Å³/atom
* magnetization: 4.01 μB per formula unit
* electronic total energy: -4.868 eV per atom
* DOS at the Fermi energy: 1.454 states/eV/atom


Entry 7:
A relaxed PuThBr6 crystal, computed with PBE.

Unit cell a=7.296 b=7.296 c=7.928 alpha=62.60 beta=62.61 gamma=60.00
Positions (direct):
Br: 0.242 0.915 0.246
Br: 0.085 0.403 0.754
Br: 0.915 0.597 0.246
Br: 0.403 0.758 0.754
Br: 0.597 0.242 0.246
Br: 0.758 0.085 0.754
Pu: 0.500 0.500 0.500
Th: 0.000 0.000 0.000

## Properties
* formation energy from raw total energies: -1.5824 eV per atom
* volume: 38.7 Å³/atom
* magnetization: 6.00 μB per formula unit
* electronic total energy: -5.556 eV per atom
* DOS at the Fermi energy: 2.424 states/eV/atom


Entry 8:
A relaxed PuTiBr2 crystal, computed with PBE.

Unit cell a=3.401 b=3.401 c=9.936 alpha=80.15 beta=80.15 gamma=60.00
Positions (direct):
Ti: 0.500 0.500 0.500
Br: 0.106 0.106 0.683
Br: 0.894 0.894 0.317
Pu: 0.000 0.000 0.000

## Properties
* formation energy from raw total energies: -0.4867 eV per atom
* volume: 24.4 Å³/atom
* magnetization: 6.54 μB per formula unit
* electronic total energy: -6.880 eV per atom
* DOS at the Fermi energy: 2.625 states/eV/atom


Entry 9:
A relaxed PuTiBr6 crystal, computed with PBE.

Unit cell a=6.726 b=7.339 c=7.339 alpha=125.17 beta=98.06 gamma=98.06
Positions (direct):
Br: 0.267 0.738 0.738
Br: 0.733 0.262 0.262
Br: 0.271 0.419 0.132
Br: 0.729 0.868 0.581
Br: 0.271 0.132 0.419
Br: 0.729 0.581 0.868
Pu: 0.000 0.000 0.000
Ti: 0.500 0.500 0.500

## Properties
* formation energy from raw total energies: -1.3209 eV per atom
* volume: 35.3 Å³/atom
* magnetization: 6.00 μB per formula unit
* electronic total energy: -5.354 eV per atom
* DOS at the Fermi energy: 1.759 states/eV/atom


Entry 10:
A relaxed Pu2TlBr8 crystal, computed with PBE.

Unit cell a=8.184 b=7.889 c=7.889 alpha=66.28 beta=79.34 gamma=79.34
Positions (direct):
Br: 0.646 0.889 0.342
Br: 0.255 0.642 0.642
Br: 0.745 0.358 0.358
Br: 0.202 0.186 0.186
Br: 0.798 0.814 0.814
Br: 0.354 0.658 0.111
Br: 0.354 0.111 0.658
Br: 0.646 0.342 0.889
Tl: 0.000 0.000 0.000
Pu: 0.516 0.735 0.735
Pu: 0.484 0.265 0.265

## Properties
* formation energy from raw total energies: -1.2656 eV per atom
* volume: 41.3 Å³/atom
* magnetization: 9.00 μB per formula unit
* electronic total energy: -5.303 eV per atom
* DOS at the Fermi energy: 1.888 states/eV/atom
* excess energy over the best structure of this formula in the dataset: 0 meV per atom


Entry 11:
A relaxed PuTl4Br6 crystal, computed with PBE.

Unit cell a=8.879 b=8.879 c=9.901 alpha=90.00 beta=90.00 gamma=90.00
Positions (direct):
Tl: 0.345 0.155 0.750
Tl: 0.655 0.845 0.750
Tl: 0.655 0.845 0.250
Tl: 0.845 0.345 0.250
Tl: 0.845 0.345 0.750
Tl: 0.345 0.155 0.250
Tl: 0.155 0.655 0.750
Tl: 0.155 0.655 0.250
Br: 0.500 0.500 0.296
Br: 0.000 0.000 0.204
Br: 0.368 0.808 0.000
Br: 0.692 0.132 0.500
Br: 0.632 0.192 0.000
Br: 0.500 0.500 0.704
Br: 0.868 0.692 0.500
Br: 0.808 0.632 0.000
Br: 0.000 0.000 0.796
Br: 0.132 0.308 0.500
Br: 0.308 0.868 0.500
Br: 0.192 0.368 0.000
Pu: 0.500 0.500 0.000
Pu: 0.000 0.000 0.500

## Properties
* formation energy from raw total energies: -0.9933 eV per atom
* volume: 35.5 Å³/atom
* magnetization: 5.84 μB per formula unit
* electronic total energy: -4.069 eV per atom
* DOS at the Fermi energy: 1.846 states/eV/atom


Entry 12:
A relaxed PuTl6Br8 crystal, computed with PBE.

Unit cell a=6.479 b=9.937 c=9.937 alpha=120.00 beta=90.00 gamma=90.00
Positions (direct):
Tl: 0.732 0.383 0.383
Tl: 0.732 0.617 0.001
Tl: 0.268 0.617 0.617
Tl: 0.268 0.383 0.999
Tl: 0.732 0.999 0.617
Tl: 0.268 0.001 0.383
Br: 0.745 0.000 0.253
Br: 0.255 0.748 0.000
Br: 0.500 0.333 0.667
Br: 0.255 0.000 0.747
Br: 0.255 0.253 0.252
Br: 0.745 0.252 0.000
Br: 0.745 0.747 0.748
Br: 0.500 0.667 0.333
Pu: 0.500 0.000 0.000

## Properties
* formation energy from raw total energies: -0.9363 eV per atom
* volume: 36.9 Å³/atom
* magnetization: 6.04 μB per formula unit
* electronic total energy: -3.730 eV per atom
* DOS at the Fermi energy: 1.220 states/eV/atom


Entry 13:
A relaxed Pu3TlBr8 crystal, computed with PBE.

Unit cell a=8.594 b=8.594 c=9.394 alpha=62.78 beta=62.78 gamma=60.00
Positions (direct):
Br: 0.736 0.736 0.791
Br: 0.725 0.240 0.794
Br: 0.264 0.264 0.209
Br: 0.240 0.240 0.794
Br: 0.760 0.760 0.206
Br: 0.760 0.275 0.206
Br: 0.240 0.725 0.794
Br: 0.275 0.760 0.206
Pu: 0.000 0.500 0.000
Pu: 0.500 0.500 0.000
Pu: 0.500 0.000 0.000
Tl: 0.500 0.500 0.500

## Properties
* formation energy from raw total energies: -1.4114 eV per atom
* volume: 42.5 Å³/atom
* magnetization: 17.00 μB per formula unit
* electronic total energy: -6.307 eV per atom
* DOS at the Fermi energy: 3.376 states/eV/atom


Entry 14:
A relaxed Pu2TlBr crystal, computed with PBE.

Unit cell a=3.423 b=3.423 c=8.937 alpha=90.00 beta=90.00 gamma=90.00
Positions (direct):
Tl: 0.500 0.500 0.000
Pu: 0.000 0.000 0.742
Pu: 0.000 0.000 0.258
Br: 0.500 0.500 0.500

## Properties
* formation energy from raw total energies: -0.3916 eV per atom
* volume: 26.2 Å³/atom
* magnetization: 12.22 μB per formula unit
* electronic total energy: -8.567 eV per atom
* DOS at the Fermi energy: 3.325 states/eV/atom
* excess energy over the best structure of this formula in the dataset: 0 meV per atom


Entry 15:
A relaxed PuTlBr5 crystal, computed with PBE.

Unit cell a=7.751 b=7.751 c=11.253 alpha=95.01 beta=110.95 gamma=110.73
Positions (direct):
Br: 0.201 0.888 0.878
Br: 0.870 0.210 0.500
Br: 0.674 0.924 0.750
Br: 0.490 0.677 0.378
Br: 0.210 0.370 0.000
Br: 0.510 0.323 0.622
Br: 0.326 0.076 0.250
Br: 0.799 0.112 0.122
Br: 0.130 0.790 0.500
Br: 0.790 0.630 0.000
Pu: 0.000 0.000 0.000
Pu: 0.500 0.000 0.500
Tl: 0.721 0.471 0.250
Tl: 0.279 0.529 0.750

## Properties
* formation energy from raw total energies: -1.1510 eV per atom
* volume: 40.9 Å³/atom
* magnetization: 4.00 μB per formula unit
* electronic total energy: -4.731 eV per atom
* DOS at the Fermi energy: 1.400 states/eV/atom


Entry 16:
A relaxed PuTlBr4 crystal, computed with PBE.

Unit cell a=7.120 b=8.582 c=8.591 alpha=113.72 beta=107.29 gamma=103.57
Positions (direct):
Br: 0.361 0.942 0.676
Br: 0.361 0.665 0.878
Br: 0.639 0.335 0.122
Br: 0.639 0.058 0.324
Br: 0.016 0.213 0.878
Br: 0.185 0.266 0.324
Br: 0.815 0.734 0.676
Br: 0.984 0.787 0.122
Pu: 0.738 0.988 0.975
Pu: 0.262 0.012 0.025
Tl: 0.385 0.635 0.271
Tl: 0.615 0.365 0.729

## Properties
* formation energy from raw total energies: -1.2472 eV per atom
* volume: 35.0 Å³/atom
* magnetization: 5.00 μB per formula unit
* electronic total energy: -5.145 eV per atom
* DOS at the Fermi energy: 1.745 states/eV/atom
* excess energy over the best structure of this formula in the dataset: 50 meV per atom


Entry 17:
A relaxed PuTl3Br8 crystal, computed with PBE.

Unit cell a=7.841 b=7.841 c=9.276 alpha=90.00 beta=90.00 gamma=115.39
Positions (direct):
Br: 0.708 0.292 0.500
Br: 0.750 0.250 0.000
Br: 0.250 0.750 0.000
Br: 0.741 0.728 0.291
Br: 0.259 0.272 0.291
Br: 0.728 0.741 0.709
Br: 0.292 0.708 0.500
Br: 0.272 0.259 0.709
Tl: 0.500 0.500 0.000
Tl: 0.000 0.500 0.226
Tl: 0.500 0.000 0.774
Pu: 0.500 0.500 0.500

## Properties
* formation energy from raw total energies: -0.9585 eV per atom
* volume: 42.9 Å³/atom
* magnetization: 3.77 μB per formula unit
* electronic total energy: -3.860 eV per atom
* DOS at the Fermi energy: 0.903 states/eV/atom
* excess energy over the best structure of this formula in the dataset: 0 meV per atom


Entry 18:
A relaxed PuTlBr2 crystal, computed with PBE.

Unit cell a=3.790 b=3.790 c=11.031 alpha=80.11 beta=80.11 gamma=60.00
Positions (direct):
Tl: 0.000 0.000 0.000
Br: 0.105 0.105 0.686
Br: 0.895 0.895 0.314
Pu: 0.500 0.500 0.500

## Properties
* formation energy from raw total energies: -0.9640 eV per atom
* volume: 33.6 Å³/atom
* magnetization: 6.20 μB per formula unit
* electronic total energy: -5.975 eV per atom
* DOS at the Fermi energy: 1.660 states/eV/atom


Entry 19:
A relaxed PuTl3Br6 crystal, computed with PBE.

Unit cell a=7.693 b=7.693 c=8.867 alpha=110.42 beta=110.42 gamma=101.29
Positions (direct):
Tl: 0.250 0.750 0.500
Tl: 0.500 0.500 0.000
Tl: 0.750 0.250 0.500
Br: 0.237 0.763 0.000
Br: 0.916 0.916 0.266
Br: 0.650 0.650 0.734
Br: 0.763 0.237 0.000
Br: 0.350 0.350 0.266
Br: 0.084 0.084 0.734
Pu: 0.000 0.000 0.000

## Properties
* formation energy from raw total energies: -1.0564 eV per atom
* volume: 43.0 Å³/atom
* magnetization: 5.00 μB per formula unit
* electronic total energy: -4.203 eV per atom
* DOS at the Fermi energy: 1.078 states/eV/atom
* excess energy over the best structure of this formula in the dataset: 79 meV per atom


Entry 20:
A relaxed Pu2Tl2Br7 crystal, computed with PBE.

Unit cell a=7.661 b=7.254 c=7.254 alpha=79.68 beta=89.99 gamma=89.99
Positions (direct):
Br: 0.755 0.500 0.000
Br: 0.755 0.000 0.500
Br: 0.768 0.500 0.500
Br: 0.245 0.000 0.500
Br: 0.000 0.000 0.000
Br: 0.232 0.500 0.500
Br: 0.245 0.500 0.000
Pu: 0.000 0.723 0.723
Pu: 0.000 0.277 0.277
Tl: 0.500 0.772 0.228
Tl: 0.500 0.228 0.772

## Properties
* formation energy from raw total energies: -1.2820 eV per atom
* volume: 36.1 Å³/atom
* magnetization: 11.00 μB per formula unit
* electronic total energy: -5.383 eV per atom
* DOS at the Fermi energy: 2.270 states/eV/atom